1.
The following is a DFT calculation (GGA-PBE) of an optimized crystal structure of Zr5NiSb3.

Calculated values
- symmetry = P6_3/mcm (193)
- calculated total energy (eV per atom) = -7.46

Unit cell a=8.634 b=8.634 c=5.816 alpha=90.00 beta=90.00 gamma=120.00
Fractional coordinates of all 18 atoms:
Ni 0.000 0.000 0.000
Ni 0.000 0.000 0.500
Sb 0.613 0.000 0.250
Sb 0.387 0.387 0.250
Sb 0.000 0.613 0.250
Sb 0.387 0.000 0.750
Sb 0.000 0.387 0.750
Sb 0.613 0.613 0.750
Zr 0.667 0.333 0.000
Zr 0.333 0.667 0.000
Zr 0.258 0.000 0.250
Zr 0.000 0.258 0.250
Zr 0.742 0.742 0.250
Zr 0.667 0.333 0.500
Zr 0.333 0.667 0.500
Zr 0.742 0.000 0.750
Zr 0.258 0.258 0.750
Zr 0.000 0.742 0.750


2.
The following is a DFT calculation (GGA-PBE) of an optimized crystal structure of Dy2Tm2Lu3Ni2Te2.

Calculated values
- symmetry = Imm2 (44)
- distance to the lowest polymorph of the same formula (meV per atom) = 13

Unit cell a=9.237 b=9.237 c=9.237 alpha=156.22 beta=67.30 gamma=118.09
Fractional coordinates of all 11 atoms:
Dy 0.692 0.377 0.315
Dy 0.063 0.377 0.685
Lu 0.001 0.001 0.000
Lu 0.081 0.726 0.355
Lu 0.371 0.726 0.645
Ni 0.309 0.073 0.236
Ni 0.838 0.073 0.764
Te 0.338 0.338 0.000
Te 0.733 0.233 0.500
Tm 0.714 0.581 0.134
Tm 0.447 0.581 0.866


3.
The following is a DFT calculation (GGA-PBE) of an optimized crystal structure of NaCdNiAs.

Calculated values
- symmetry = F-43m (216)
- distance to the lowest polymorph of the same formula (meV per atom) = 159

Unit cell a=4.719 b=4.719 c=4.719 alpha=60.00 beta=60.00 gamma=60.00
Fractional coordinates of all 4 atoms:
As 0.000 0.000 0.000
Cd 0.250 0.250 0.250
Na 0.750 0.750 0.750
Ni 0.500 0.500 0.500


4.
The following is a DFT calculation (GGA-PBE) of an optimized crystal structure of NbAsIrO.

Calculated values
- symmetry = P4/nmm (129)
- distance to the lowest polymorph of the same formula (meV per atom) = 0

Unit cell a=3.845 b=3.845 c=7.440 alpha=90.00 beta=90.00 gamma=90.00
Fractional coordinates of all 8 atoms:
As 0.750 0.750 0.286
As 0.250 0.250 0.714
Ir 0.750 0.250 0.500
Ir 0.250 0.750 0.500
Nb 0.250 0.250 0.165
Nb 0.750 0.750 0.835
O 0.750 0.250 0.000
O 0.250 0.750 0.000


5.
The following is a DFT calculation (GGA-PBE) of an optimized crystal structure of NdEr2NiSn3Ir2.

Calculated values
- symmetry = Amm2 (38)
- calculated total energy (eV per atom) = -6.23

Unit cell a=3.875 b=7.527 c=7.527 alpha=120.42 beta=90.00 gamma=90.00
Fractional coordinates of all 9 atoms:
Er 0.000 0.592 0.000
Er 0.000 0.000 0.592
Ir 0.500 0.673 0.330
Ir 0.500 0.330 0.673
Nd 0.000 0.409 0.409
Ni 0.000 0.996 0.996
Sn 0.500 0.998 0.252
Sn 0.500 0.749 0.749
Sn 0.500 0.252 0.998


6.
The following is a DFT calculation (GGA-PBE) of an optimized crystal structure of NdEr2Ni9.

Calculated values
- symmetry = R-3m (166)
- calculated total energy (eV per atom) = -5.74

Unit cell a=8.569 b=8.569 c=8.569 alpha=33.79 beta=33.79 gamma=33.79
Site moments in Bohr magnetons follow the coordinates.
Fractional coordinates of all 12 atoms:
Er 0.140 0.140 0.140  0.04
Er 0.860 0.860 0.860  0.04
Nd 0.000 0.000 0.000  0.02
Ni 0.584 0.584 0.082  -0.12
Ni 0.333 0.333 0.333  -0.12
Ni 0.918 0.416 0.416  -0.11
Ni 0.416 0.918 0.416  -0.14
Ni 0.500 0.500 0.500  -0.10
Ni 0.584 0.082 0.584  -0.14
Ni 0.082 0.584 0.584  -0.11
Ni 0.667 0.667 0.667  -0.12
Ni 0.416 0.416 0.918  -0.12